#w
Below is HgIr2O after structural relaxation, with properties calculated at the PBE level.

Results
Its space group is Fm-3m, No. 225. The calculation puts the total moment at 1.60 μB/f.u. The density of states at the Fermi level is 1.5646 states/eV per atom.

Geometry as POSCAR:
```
HgIr2O
1.0
0.000 3.112 3.112
3.112 0.000 3.112
3.112 3.112 0.000
O Hg Ir
1 1 2
Direct
0.000 0.000 0.000
0.500 0.500 0.500
0.250 0.250 0.250
0.750 0.750 0.750
```

***

#x
Below is HgIr2O after structural relaxation, with properties calculated at the PBE level.

Results
Its space group is I-42d, No. 122. The calculation puts the total moment at 0.00 μB/f.u. The density of states at the Fermi level is 0.4031 states/eV per atom.

Geometry as POSCAR:
```
HgIr2O
1.0
4.733 0.000 0.000
0.000 4.733 0.000
2.366 2.366 6.560
Ir Hg O
4 2 2
Direct
0.375 0.706 0.750
0.875 0.544 0.750
0.456 0.625 0.250
0.294 0.125 0.250
0.000 0.000 0.000
0.750 0.250 0.500
0.250 0.750 0.500
0.500 0.500 0.000
```

***

Most stable structure: #x